# PBE CaGe3Au, relaxed
# density: 5629 kg/m3
# N(E_F): 2.35 states/eV per cell
# energy of formation: 1.14 eV per formula unit
data_CaGe3Au
_cell_length_a 5.120
_cell_length_b 5.120
_cell_length_c 5.120
_cell_angle_alpha 90.00
_cell_angle_beta 90.00
_cell_angle_gamma 90.00
_space_group_name_H-M_alt 'P m -3 m'
_space_group_IT_number 221
_space_group_name_Hall '-P 4 2 3'
loop_
_atom_site_label
_atom_site_fract_x
_atom_site_fract_y
_atom_site_fract_z
Ca1 0.000 0.000 0.000
Ge1 0.000 0.500 0.500
Au1 0.500 0.500 0.500